Below is a relaxed AcLa2Se4 crystal, with properties calculated at the PBE level.

Properties
**Magnetization**: 0.000 μB per formula unit
**Final energy**: -167.67 eV/cell
**Formation energy without anion corrections**: -193.2 kJ per mole of atoms

Cell: 4.268 14.356 14.389 Å, 90.00 90.00 90.00°
Space group Cmcm (No. 63)
Unique sites:
Ac (0.000, 0.123, 0.250) [4 per cell]
La (0.000, 0.371, 0.067) [8 per cell]
Se (0.000, 0.000, 0.000) [4 per cell]
Se (0.000, 0.273, 0.621) [8 per cell]
Se (0.000, 0.466, 0.250) [4 per cell]


Below is a relaxed FeMoCl crystal, with properties calculated at the PBE level.

Properties
**Magnetization**: 0.011 μB per formula unit
**Final energy**: -39.93 eV/cell
**Energy above the lowest structure with this stoichiometry**: 0.1184 eV/atom
**Formation energy without anion corrections**: 37.9 kJ per mole of atoms

Cell: 2.862 2.862 10.524 Å, 90.00 90.00 90.00°
Space group I4mm (No. 107)
Unique sites:
Fe (0.000, 0.000, 0.000) [2 per cell]
Mo (0.000, 0.000, 0.643) [2 per cell]
Cl (0.000, 0.000, 0.315) [2 per cell]


Below is a relaxed TaReTc2 crystal, with properties calculated at the PBE level.

Properties
**Magnetization**: 0.000 μB per formula unit
**Energy of formation from the pure elements**: -0.0096 eV/atom
**Final energy**: -180.28 eV/cell
**Energy above the lowest structure with this stoichiometry**: 0.0674 eV/atom

Cell: 6.294 6.294 6.294 Å, 90.00 90.00 90.00°
Space group F-43m (No. 216)
Unique sites:
Ta (0.000, 0.000, 0.000) [4 per cell]
Re (0.250, 0.250, 0.750) [4 per cell]
Tc (0.000, 0.000, 0.500) [4 per cell]
Tc (0.250, 0.250, 0.250) [4 per cell]


Below is a relaxed PmVFe4 crystal, with properties calculated at the PBE level.

Properties
**Magnetization**: 5.804 μB per formula unit
**Energy of formation from the pure elements**: 0.0952 eV/atom
**Final energy**: -188.60 eV/cell

Cell: 7.097 7.097 7.097 Å, 90.00 90.00 90.00°
Space group F-43m (No. 216)
Unique sites:
Pm (0.000, 0.000, 0.000) [4 per cell]
V (0.250, 0.250, 0.250) [4 per cell]
Fe (0.124, 0.124, 0.624) [16 per cell]


- Among the records above, which one has the highest final energy?
  FeMoCl


- Which value of final energy does entry 3 give?
  -180.28 eV/cell


- Among the records above, which one has the highest final energy?
  FeMoCl